A plane-wave DFT calculation with PBE was carried out for crystalline PuAlPb2 at its relaxed geometry.

Results
- Crystal system: tetragonal
- DFT formation energy: -0.09 eV/atom
- Distance to the lowest polymorph of the same formula: 0.000 eV/atom
- Magnetic moment: 5.54 μB per formula unit

a b c (Å): 4.7136 4.7136 4.5976
angles (deg): 90.00 90.00 90.00
Last column: nearest neighbours and their distance in Å.
Space group P4/mmm (No. 123)
Inequivalent atoms, fractional coordinates:
Pu 0.0000 0.0000 0.0000 [1 per cell]  8 Pb 3.29, 4 Al 3.33
Al 0.5000 0.5000 0.0000 [1 per cell]  8 Pb 3.29, 4 Pu 3.33
Pb 0.0000 0.5000 0.5000 [2 per cell]  4 Al 3.29, 4 Pu 3.29, 4 Pb 3.33